A geometry-optimized TmThGePd structure. Source: the Alexandria database, functional GGA-PBE.

abc: 5.082 5.082 5.082
angles: 60.00 60.00 60.00
Last column: magnetic moment on the atom in μB.
Positions (direct):
Ge 0.250 0.250 0.250  -0.01
Tm 0.500 0.500 0.500  0.22
Th 0.000 0.000 0.000  0.18
Pd 0.750 0.750 0.750  0.07

Values from the calculation:
Magnetic moment = 0.66 Bohr magnetons per cell
DFT total energy = -6.07 eV/atom



A geometry-optimized YThGePd structure. Source: the Alexandria database, functional GGA-PBE.

abc: 5.116 5.116 5.116
angles: 60.00 60.00 60.00
Last column: magnetic moment on the atom in μB.
Positions (direct):
Ge 0.250 0.250 0.250  -0.01
Y 0.500 0.500 0.500  0.20
Pd 0.750 0.750 0.750  0.09
Th 0.000 0.000 0.000  0.22

Values from the calculation:
Magnetic moment = 0.83 Bohr magnetons per cell
DFT total energy = -6.57 eV/atom



A geometry-optimized Th2ZnGe4Pd3 structure. Source: the Alexandria database, functional GGA-PBE.

abc: 4.281 4.281 10.524
angles: 90.00 90.00 90.00
Positions (direct):
Ge 0.000 0.000 0.000
Ge 0.500 0.000 0.636
Ge 0.500 0.500 0.000
Ge 0.000 0.500 0.364
Zn 0.500 0.500 0.500
Pd 0.500 0.000 0.870
Pd 0.000 0.000 0.500
Pd 0.000 0.500 0.130
Th 0.500 0.000 0.249
Th 0.000 0.500 0.751

Values from the calculation:
Magnetic moment = 0.00 Bohr magnetons per cell
DFT total energy = -5.74 eV/atom



A geometry-optimized Ti2GePd2 structure. Source: the Alexandria database, functional GGA-PBE.

abc: 7.405 7.405 3.072
angles: 90.00 90.00 90.00
Positions (direct):
Ge 0.500 0.500 0.000
Ge 0.000 0.000 0.000
Ti 0.167 0.333 0.000
Ti 0.833 0.667 0.000
Ti 0.333 0.833 0.000
Ti 0.667 0.167 0.000
Pd 0.869 0.369 0.500
Pd 0.369 0.131 0.500
Pd 0.631 0.869 0.500
Pd 0.131 0.631 0.500

Values from the calculation:
Magnetic moment = 0.00 Bohr magnetons per cell
DFT total energy = -6.49 eV/atom



A geometry-optimized TiGe3Pd6 structure. Source: the Alexandria database, functional GGA-PBE.

abc: 4.168 8.429 10.912
angles: 120.75 90.00 90.00
Positions (direct):
Ge 0.250 0.471 0.165
Ge 0.750 0.726 0.540
Ge 0.750 0.529 0.835
Ge 0.750 0.148 0.070
Ge 0.250 0.274 0.460
Ge 0.250 0.852 0.930
Pd 0.250 0.135 0.192
Pd 0.250 0.530 0.411
Pd 0.750 0.865 0.808
Pd 0.250 0.299 0.700
Pd 0.750 0.085 0.466
Pd 0.250 0.915 0.534
Pd 0.750 0.701 0.300
Pd 0.250 0.607 0.994
Pd 0.250 0.132 0.880
Pd 0.750 0.393 0.006
Pd 0.750 0.868 0.120
Pd 0.750 0.470 0.589
Ti 0.750 0.109 0.717
Ti 0.250 0.891 0.283

Values from the calculation:
Magnetic moment = 0.00 Bohr magnetons per cell
DFT total energy = -5.72 eV/atom



A geometry-optimized TiGe2Pd structure. Source: the Alexandria database, functional GGA-PBE.

abc: 2.912 2.912 7.430
angles: 90.00 90.00 90.00
Positions (direct):
Ge 0.000 0.000 0.246
Ge 0.000 0.000 0.754
Ti 0.500 0.500 0.500
Pd 0.500 0.500 0.000

Values from the calculation:
Magnetic moment = 0.00 Bohr magnetons per cell
DFT total energy = -5.91 eV/atom



A geometry-optimized Ti4GePd2 structure. Source: the Alexandria database, functional GGA-PBE.

abc: 4.656 4.656 7.167
angles: 71.05 71.05 90.00
Positions (direct):
Pd 0.382 0.382 0.236
Pd 0.618 0.618 0.764
Ti 0.000 0.500 0.000
Ti 0.194 0.194 0.613
Ti 0.806 0.806 0.387
Ti 0.500 0.000 0.000
Ge 0.000 0.000 0.000

Values from the calculation:
Magnetic moment = 0.00 Bohr magnetons per cell
DFT total energy = -6.48 eV/atom



A geometry-optimized Ti8Ge2Pd3 structure. Source: the Alexandria database, functional GGA-PBE.

abc: 4.614 7.431 7.551
angles: 119.48 90.00 90.00
Last column: magnetic moment on the atom in μB.
Positions (direct):
Ti 0.500 0.575 0.759  0.19
Ti 0.500 0.425 0.241  0.19
Ti 0.500 0.815 0.241  0.19
Ti 0.000 0.685 0.370  0.45
Ti 0.000 0.105 0.210  0.04
Ti 0.000 0.315 0.630  0.45
Ti 0.000 0.895 0.790  0.04
Ti 0.500 0.185 0.759  0.19
Ge 0.500 0.215 0.430  -0.01
Ge 0.500 0.785 0.570  -0.01
Pd 0.500 0.000 0.000  0.01
Pd 0.000 0.685 0.000  0.03
Pd 0.000 0.315 0.000  0.03

Values from the calculation:
Magnetic moment = 2.16 Bohr magnetons per cell
DFT total energy = -6.99 eV/atom



A geometry-optimized TiGe2Pd structure. Source: the Alexandria database, functional GGA-PBE.

abc: 3.600 4.177 4.177
angles: 90.00 90.00 90.00
Positions (direct):
Ge 0.000 0.000 0.500
Ge 0.000 0.500 0.000
Ti 0.500 0.500 0.500
Pd 0.500 0.000 0.000

Values from the calculation:
Magnetic moment = 0.00 Bohr magnetons per cell
DFT total energy = -6.02 eV/atom



A geometry-optimized TiGePd6 structure. Source: the Alexandria database, functional GGA-PBE.

abc: 7.378 6.817 5.038
angles: 47.16 43.23 57.53
Positions (direct):
Ti 0.500 0.500 0.500
Pd 0.954 0.566 0.237
Pd 0.046 0.434 0.763
Pd 0.431 0.757 0.855
Pd 0.569 0.243 0.145
Pd 0.244 0.039 0.285
Pd 0.756 0.961 0.715
Ge 0.000 0.000 0.000

Values from the calculation:
Magnetic moment = 0.00 Bohr magnetons per cell
DFT total energy = -5.82 eV/atom



A geometry-optimized TiGePd4 structure. Source: the Alexandria database, functional GGA-PBE.

abc: 4.966 8.524 5.403
angles: 90.00 90.00 124.33
Positions (direct):
Pd 0.521 0.700 0.750
Pd 0.377 0.021 0.750
Pd 0.479 0.300 0.250
Pd 0.623 0.979 0.250
Pd 0.007 0.340 0.997
Pd 0.007 0.340 0.503
Pd 0.993 0.660 0.003
Pd 0.993 0.660 0.497
Ge 0.096 0.950 0.250
Ge 0.904 0.050 0.750
Ti 0.529 0.381 0.750
Ti 0.471 0.619 0.250

Values from the calculation:
Magnetic moment = 0.00 Bohr magnetons per cell
DFT total energy = -6.03 eV/atom



A geometry-optimized TiGePd6 structure. Source: the Alexandria database, functional GGA-PBE.

abc: 6.802 6.290 4.761
angles: 74.54 63.04 42.42
Positions (direct):
Pd 0.379 0.379 0.121
Pd 0.621 0.621 0.879
Pd 0.252 0.252 0.748
Pd 0.879 0.879 0.621
Pd 0.748 0.748 0.252
Pd 0.121 0.121 0.379
Ge 0.000 0.000 0.000
Ti 0.500 0.500 0.500

Values from the calculation:
Magnetic moment = 0.00 Bohr magnetons per cell
DFT total energy = -5.89 eV/atom